8
Lattice="4.054 0.000 0.000 0.000 6.857 -0.076 0.000 2.474 6.558" Properties=species:S:1:pos:R:3 comment="PBE-GGA La4PH2S, relaxed" space_group="No. 10" crystal_system=monoclinic energy_ev_per_cell=-44.771 pbc="T T T"
La 0.000 7.044 4.843
La 4.054 2.288 1.639
La 2.027 5.791 1.569
La 2.027 3.541 4.913
P 2.027 3.429 -0.038
H 0.000 2.474 6.558
H 2.027 1.237 3.279
S 0.000 4.666 3.241

---

5
Lattice="5.995 0.000 0.000 0.000 5.995 0.000 0.000 0.000 5.479" Properties=species:S:1:pos:R:3 comment="PBE-GGA LaP2HS, relaxed" space_group="No. 123" crystal_system=tetragonal de_polymorph_mev_per_atom=1308 energy_ev_per_cell=-18.510 pbc="T T T"
P 0.000 2.998 0.000
P 2.998 0.000 0.000
S 0.000 0.000 2.740
H 2.998 2.998 2.740
La 0.000 0.000 0.000